No. 1
First-principles (PBE) data for an optimized crystal structure of PmSmSi, as listed in Alexandria.

a = 4.250 Å, b = 6.055 Å, c = 7.159 Å
α = 77.71°, β = 107.27°, γ = 110.55°
Sites, in units of the cell vectors:
Si: 0.310 0.188 0.393
Sm: 0.015 0.584 0.408
Si: 0.551 0.363 0.700
Pm: 0.258 0.503 0.974
Sm: 0.845 0.967 0.685
Pm: 0.602 0.048 0.119

size of the total moment: 0.0 μB per formula unit
E: -5.46 eV per atom
E above lowest polymorph: 0 meV per atom
formation energy from raw total energies: -0.493 eV per atom
N(E_F): 3.6 states/eV/f.u.

No. 2
First-principles (PBE) data for an optimized crystal structure of Y2HoN, as listed in Alexandria.

a = 3.468 Å, b = 3.468 Å, c = 9.618 Å
α = 79.61°, β = 79.61°, γ = 60.00°
Each line ends with the local moment (μB).
Sites, in units of the cell vectors:
Y: 0.880 0.880 0.359  0.16
N: 0.500 0.500 0.500  -0.02
Y: 0.120 0.120 0.641  0.16
Ho: 0.000 0.000 0.000  0.31

size of the total moment: 1.0 μB per formula unit
E: -7.13 eV per atom
formation energy from raw total energies: -0.668 eV per atom
N(E_F): 3.6 states/eV/f.u.

No. 3
First-principles (PBE) data for an optimized crystal structure of Tb2TmThP4, as listed in Alexandria.

a = 4.048 Å, b = 7.001 Å, c = 6.987 Å
α = 70.53°, β = 90.00°, γ = 90.00°
Sites, in units of the cell vectors:
Tb: 0.000 0.000 0.000
Th: 0.500 0.500 0.000
Tb: 0.500 0.000 0.500
Tm: 0.000 0.500 0.500
P: 0.000 0.248 0.256
P: 0.000 0.752 0.744
P: 0.500 0.748 0.255
P: 0.500 0.252 0.745

size of the total moment: 0.0 μB per formula unit
E: -6.96 eV per atom
energy of formation: -1.6074 eV/atom
N(E_F): 1.4 states/eV/f.u.